DFT (GGA-PBE) results for crystalline CeTmPaIn at its relaxed geometry.

## Properties
* DFT formation energy: 0.116 eV/atom

Cell: 7.480 7.480 7.480 Å, 90.00 90.00 90.00°
Space group F-43m (No. 216)
Asymmetric unit:
1 Ce 0.000 0.000 0.000 [4 per cell]
2 Tm 0.250 0.250 0.250 [4 per cell]
3 Pa 0.250 0.250 0.750 [4 per cell]
4 In 0.000 0.000 0.500 [4 per cell]